[1]
Ta2IrBr: relaxed, GGA-PBEsol.

Results
Final energy in eV/atom: -8.587
Fermi-level density of states in states/eV/cell: 4.45
Energy relative to the lowest polymorph listed for this composition in meV per atom: 550
Raw formation energy in eV per atom: 0.61

Structure (POSCAR):
```
Ta2IrBr
1.0
-1.9121 1.9121 4.6386
1.9121 -1.9121 4.6386
1.9121 1.9121 -4.6386
Ta Ir Br
2 1 1
direct
0.0000 0.0000 0.0000 Ta
0.7500 0.2500 0.5000 Ta
0.2500 0.7500 0.5000 Ir
0.5000 0.5000 0.0000 Br
```

[2]
GeSb2Te4: relaxed, GGA-PBEsol.

Results
Final energy in eV/atom: -4.127
Fermi-level density of states in states/eV/cell: 0.08
Raw formation energy in eV per atom: -0.10

Structure (POSCAR):
```
GeSb2Te4
1.0
2.1185 1.2231 13.4302
-2.1185 1.2231 13.4302
0.0000 -2.4463 13.4302
Ge Sb Te
1 2 4
direct
0.0000 0.0000 0.0000 Ge
0.4265 0.4265 0.4265 Sb
0.8579 0.8579 0.8579 Sb
0.1410 0.1410 0.1410 Te
0.2982 0.2982 0.2982 Te
0.5671 0.5671 0.5671 Te
0.7163 0.7163 0.7163 Te
```

[3]
Zn24Rh5: relaxed, GGA-PBEsol.

Results
Final energy in eV/atom: -2.884
Fermi-level density of states in states/eV/cell: 7.62
Formation energy in eV per formula unit: -4.988

Structure (POSCAR):
```
Zn24Rh5
1.0
-4.5878 4.5878 4.5878
4.5878 -4.5878 4.5878
4.5878 4.5878 -4.5878
Zn Rh
24 5
direct
0.0000 0.3174 0.6044 Zn
0.0000 0.6044 0.3174 Zn
0.0000 0.6332 0.8125 Zn
0.0000 0.8125 0.6332 Zn
0.1794 0.3668 0.3668 Zn
0.1875 0.1875 0.8206 Zn
0.1875 0.8206 0.1875 Zn
0.2869 0.6826 0.6826 Zn
0.3174 0.0000 0.6044 Zn
0.3174 0.6044 0.0000 Zn
0.3668 0.1794 0.3668 Zn
0.3668 0.3668 0.1794 Zn
0.3956 0.3956 0.7131 Zn
0.3956 0.7131 0.3956 Zn
0.6044 0.0000 0.3174 Zn
0.6044 0.3174 0.0000 Zn
0.6332 0.0000 0.8125 Zn
0.6332 0.8125 0.0000 Zn
0.6826 0.2869 0.6826 Zn
0.6826 0.6826 0.2869 Zn
0.7131 0.3956 0.3956 Zn
0.8125 0.0000 0.6332 Zn
0.8125 0.6332 0.0000 Zn
0.8206 0.1875 0.1875 Zn
0.0000 0.0000 0.0000 Rh
0.0000 0.0000 0.3814 Rh
0.0000 0.3814 0.0000 Rh
0.3814 0.0000 0.0000 Rh
0.6186 0.6186 0.6186 Rh
```

[4]
BaCu2Ru: relaxed, GGA-PBEsol.

Results
Final energy in eV/atom: -4.424
Fermi-level density of states in states/eV/cell: 3.70
Energy relative to the lowest polymorph listed for this composition in meV per atom: 552
Formation energy in eV per formula unit: 3.295

Structure (POSCAR):
```
BaCu2Ru
1.0
-2.0155 2.0155 4.2747
2.0155 -2.0155 4.2747
2.0155 2.0155 -4.2747
Ba Cu Ru
1 2 1
direct
0.0000 0.0000 0.0000 Ba
0.2500 0.7500 0.5000 Cu
0.7500 0.2500 0.5000 Cu
0.5000 0.5000 0.0000 Ru
```

[5]
CsLaZnTe3: relaxed, GGA-PBEsol.

Results
Final energy in eV/atom: -4.187
Raw formation energy in eV per atom: -1.11

Structure (POSCAR):
```
CsLaZnTe3
1.0
2.2443 -8.3466 0.0000
2.2443 8.3466 0.0000
0.0000 0.0000 12.0007
Cs La Zn Te
2 2 2 6
direct
0.2444 0.7556 0.7500 Cs
0.7556 0.2444 0.2500 Cs
0.5000 0.5000 0.0000 La
0.5000 0.5000 0.5000 La
0.0373 0.9627 0.2500 Zn
0.9627 0.0373 0.7500 Zn
0.1259 0.8741 0.0680 Te
0.1259 0.8741 0.4320 Te
0.4395 0.5605 0.2500 Te
0.5605 0.4395 0.7500 Te
0.8741 0.1259 0.5680 Te
0.8741 0.1259 0.9320 Te
```

[6]
ReSiSe2: relaxed, GGA-PBEsol.

Results
Final energy in eV/atom: -6.343
Fermi-level density of states in states/eV/cell: 2.42
Raw formation energy in eV per atom: 0.35

Structure (POSCAR):
```
ReSiSe2
1.0
-1.5008 2.0779 5.7931
1.5008 -2.0779 5.7931
1.5008 2.0779 -5.7931
Re Si Se
1 1 2
direct
0.0000 0.0000 0.0000 Re
0.1911 0.6911 0.5000 Si
0.5503 0.5503 0.0000 Se
0.8270 0.3270 0.5000 Se
```

[7]
Sr2Y: relaxed, GGA-PBEsol.

Results
Final energy in eV/atom: -3.031
Fermi-level density of states in states/eV/cell: 4.69
Energy relative to the lowest polymorph listed for this composition in meV per atom: 236
Formation energy in eV per formula unit: 1.410

Structure (POSCAR):
```
Sr2Y
1.0
6.2447 0.0000 0.0000
0.0000 6.2447 0.0000
0.0000 0.0000 3.8774
Sr Y
2 1
direct
0.0000 0.5000 0.0000 Sr
0.5000 0.0000 0.0000 Sr
0.0000 0.0000 0.5000 Y
```

[8]
CoH3I: relaxed, GGA-PBEsol.

Results
Final energy in eV/atom: -2.339
Fermi-level density of states in states/eV/cell: 5.89

Structure (POSCAR):
```
CoH3I
1.0
3.9819 0.0000 0.0000
0.0000 3.9819 0.0000
0.0000 0.0000 3.9819
Co H I
1 3 1
direct
0.0000 0.0000 0.0000 Co
0.0000 0.5000 0.5000 H
0.5000 0.0000 0.5000 H
0.5000 0.5000 0.0000 H
0.5000 0.5000 0.5000 I
```

[9]
InAsP4: relaxed, GGA-PBEsol.

Results
Final energy in eV/atom: -4.710
Fermi-level density of states in states/eV/cell: 1.80
Formation energy in eV per formula unit: 2.997

Structure (POSCAR):
```
InAsP4
1.0
0.0000 3.9125 3.9125
3.9125 0.0000 3.9125
3.9125 3.9125 0.0000
In As P
1 1 4
direct
0.0000 0.0000 0.0000 In
0.7500 0.7500 0.7500 As
0.3983 0.3983 0.3983 P
0.3983 0.3983 0.8052 P
0.3983 0.8052 0.3983 P
0.8052 0.3983 0.3983 P
```

[10]
KSb2As2: relaxed, GGA-PBEsol.

Results
Final energy in eV/atom: -4.216
Fermi-level density of states in states/eV/cell: 1.77
Energy relative to the lowest polymorph listed for this composition in meV per atom: 0
Raw formation energy in eV per atom: -0.12

Structure (POSCAR):
```
KSb2As2
1.0
-2.6369 2.6369 5.3077
2.6369 -2.6369 5.3077
2.6369 2.6369 -5.3077
K Sb As
1 2 2
direct
0.0000 0.0000 0.0000 K
0.3421 0.3421 0.0000 Sb
0.6579 0.6579 0.0000 Sb
0.2500 0.7500 0.5000 As
0.7500 0.2500 0.5000 As
```

[11]
CrSn3C: relaxed, GGA-PBEsol.

Results
Final energy in eV/atom: -5.450
Fermi-level density of states in states/eV/cell: 3.26
Energy relative to the lowest polymorph listed for this composition in meV per atom: 0
Formation energy in eV per formula unit: 5.414

Structure (POSCAR):
```
CrSn3C
1.0
4.6872 0.0000 0.0000
0.0000 4.6872 0.0000
0.0000 0.0000 4.6872
Cr Sn C
1 3 1
direct
0.0000 0.0000 0.0000 Cr
0.0000 0.5000 0.5000 Sn
0.5000 0.0000 0.5000 Sn
0.5000 0.5000 0.0000 Sn
0.5000 0.5000 0.5000 C
```

[12]
TiCr2O5: relaxed, GGA-PBEsol.

Results
Final energy in eV/atom: -9.189
Fermi-level density of states in states/eV/cell: 2.39
Raw formation energy in eV per atom: -2.31

Structure (POSCAR):
```
TiCr2O5
1.0
4.8983 -2.4763 0.0000
4.8983 2.4763 0.0000
-2.6197 0.0000 6.5913
Ti Cr O
2 4 10
direct
0.0000 0.0000 0.0000 Ti
0.0000 0.0000 0.5000 Ti
0.3707 0.3798 0.7885 Cr
0.3798 0.3707 0.2885 Cr
0.6202 0.6293 0.7115 Cr
0.6293 0.6202 0.2115 Cr
0.0372 0.3417 0.1553 O
0.1955 0.8045 0.2500 O
0.2574 0.5753 0.5570 O
0.3417 0.0372 0.6553 O
0.4247 0.7426 0.9430 O
0.5753 0.2574 0.0570 O
0.6583 0.9628 0.3447 O
0.7426 0.4247 0.4430 O
0.8045 0.1955 0.7500 O
0.9628 0.6583 0.8447 O
```

[13]
ReTeW: relaxed, GGA-PBEsol.

Results
Final energy in eV/atom: -9.467
Fermi-level density of states in states/eV/cell: 2.29
Energy relative to the lowest polymorph listed for this composition in meV per atom: 163
Raw formation energy in eV per atom: 0.75

Structure (POSCAR):
```
ReTeW
1.0
4.4448 0.0000 0.0000
-2.2224 3.8493 0.0000
0.0000 0.0000 2.9693
Re Te W
1 1 1
direct
0.0000 0.0000 0.0000 Re
0.3333 0.6667 0.0000 Te
0.6667 0.3333 0.5000 W
```

[14]
RbNaPH2: relaxed, GGA-PBEsol.

Results
Final energy in eV/atom: -1.970
Fermi-level density of states in states/eV/cell: 1.84

Structure (POSCAR):
```
RbNaPH2
1.0
4.5977 0.0000 0.0000
0.0000 4.5977 0.0000
0.0000 0.0000 8.1778
Rb Na P H
1 1 1 2
direct
0.0000 0.0000 0.0000 Rb
0.0000 0.0000 0.5000 Na
0.5000 0.5000 0.5000 P
0.0000 0.5000 0.0000 H
0.5000 0.0000 0.0000 H
```

[15]
FeGeF2: relaxed, GGA-PBEsol.

Results
Final energy in eV/atom: -5.541
Fermi-level density of states in states/eV/cell: 1.85
Energy relative to the lowest polymorph listed for this composition in meV per atom: 0
Raw formation energy in eV per atom: -1.10

Structure (POSCAR):
```
FeGeF2
1.0
1.4058 0.8117 7.5448
-1.4058 0.8117 7.5448
0.0000 -1.6233 7.5448
Fe Ge F
1 1 2
direct
0.0000 0.0000 0.0000 Fe
0.5000 0.5000 0.5000 Ge
0.3946 0.3946 0.3946 F
0.6054 0.6054 0.6054 F
```

[16]
Ca2SbCSe: relaxed, GGA-PBEsol.

Results
Final energy in eV/atom: -4.242
Fermi-level density of states in states/eV/cell: 0.91
Raw formation energy in eV per atom: 0.22

Structure (POSCAR):
```
Ca2SbCSe
1.0
5.7894 0.0000 0.0000
0.0000 5.7894 0.0000
0.0000 0.0000 4.1417
Ca Sb C Se
2 1 1 1
direct
0.0000 0.5000 0.0000 Ca
0.5000 0.0000 0.0000 Ca
0.0000 0.0000 0.0000 Sb
0.0000 0.0000 0.5000 C
0.5000 0.5000 0.5000 Se
```

[17]
Mn3O2F4: relaxed, GGA-PBEsol.

Results
Final energy in eV/atom: -7.292
Fermi-level density of states in states/eV/cell: 1.87
Energy relative to the lowest polymorph listed for this composition in meV per atom: 14
Raw formation energy in eV per atom: -2.02

Structure (POSCAR):
```
Mn3O2F4
1.0
7.7989 0.0000 0.0000
0.0000 4.6723 0.0000
-0.2449 0.0000 5.6089
Mn O F
6 4 8
direct
0.0000 0.0000 0.0000 Mn
0.0000 0.5000 0.5000 Mn
0.3233 0.0434 0.3295 Mn
0.3233 0.4566 0.8295 Mn
0.6767 0.5434 0.1705 Mn
0.6767 0.9566 0.6705 Mn
0.2177 0.1934 0.0415 O
0.2177 0.3066 0.5415 O
0.7823 0.6934 0.4585 O
0.7823 0.8066 0.9585 O
0.1023 0.7204 0.8008 F
0.1023 0.7796 0.3008 F
0.4246 0.7033 0.1215 F
0.4246 0.7967 0.6215 F
0.5754 0.2033 0.3785 F
0.5754 0.2967 0.8785 F
0.8977 0.2204 0.6992 F
0.8977 0.2796 0.1992 F
```

[18]
Mn2InSnPd4: relaxed, GGA-PBEsol.

Results
Final energy in eV/atom: -6.680
Fermi-level density of states in states/eV/cell: 3.71
Formation energy in eV per formula unit: -2.840

Structure (POSCAR):
```
Mn2InSnPd4
1.0
2.2289 1.2869 7.2794
-2.2289 1.2869 7.2794
0.0000 -2.5737 7.2794
Mn In Sn Pd
2 1 1 4
direct
0.2487 0.2487 0.2487 Mn
0.7513 0.7513 0.7513 Mn
0.5000 0.5000 0.5000 In
0.0000 0.0000 0.0000 Sn
0.1242 0.1242 0.1242 Pd
0.3741 0.3741 0.3741 Pd
0.6259 0.6259 0.6259 Pd
0.8758 0.8758 0.8758 Pd
```

[19]
CaYRu: relaxed, GGA-PBEsol.

Results
Final energy in eV/atom: -6.429
Fermi-level density of states in states/eV/cell: 2.04
Formation energy in eV per formula unit: -0.158

Structure (POSCAR):
```
CaYRu
1.0
-1.7001 1.7001 6.3680
1.7001 -1.7001 6.3680
1.7001 1.7001 -6.3680
Ca Y Ru
1 1 1
direct
0.0000 0.0000 0.0000 Ca
0.7453 0.7453 0.0000 Y
0.3585 0.3585 0.0000 Ru
```

[20]
SiPPb2: relaxed, GGA-PBEsol.

Results
Final energy in eV/atom: -4.604
Fermi-level density of states in states/eV/cell: 1.73
Energy relative to the lowest polymorph listed for this composition in meV per atom: 96
Raw formation energy in eV per atom: 0.28

Structure (POSCAR):
```
SiPPb2
1.0
1.7488 -2.9043 0.0000
1.7488 2.9043 0.0000
0.0000 0.0000 9.2835
Si P Pb
1 1 2
direct
0.0000 0.0000 0.0000 Si
0.5000 0.5000 0.8481 P
0.0000 0.0000 0.5816 Pb
0.5000 0.5000 0.2677 Pb
```

[21]
Si2TeP: relaxed, GGA-PBEsol.

Results
Final energy in eV/atom: -4.922
Fermi-level density of states in states/eV/cell: 1.58
Energy relative to the lowest polymorph listed for this composition in meV per atom: 0
Raw formation energy in eV per atom: 0.28

Structure (POSCAR):
```
Si2TeP
1.0
5.0343 -1.6231 0.0000
5.0343 1.6231 0.0000
-4.4551 0.0000 5.7159
Si Te P
2 1 1
direct
0.1382 0.1382 0.4506 Si
0.8618 0.8618 0.5494 Si
0.0000 0.0000 0.0000 Te
0.5000 0.5000 0.5000 P
```

[22]
NbReSn3: relaxed, GGA-PBEsol.

Results
Final energy in eV/atom: -5.787
Fermi-level density of states in states/eV/cell: 3.57
Formation energy in eV per formula unit: 7.998

Structure (POSCAR):
```
NbReSn3
1.0
5.2628 0.0000 0.0000
0.0000 5.2628 0.0000
0.0000 0.0000 5.2628
Nb Re Sn
1 1 3
direct
0.0000 0.0000 0.0000 Nb
0.5000 0.5000 0.5000 Re
0.0000 0.0000 0.5000 Sn
0.0000 0.5000 0.0000 Sn
0.5000 0.0000 0.0000 Sn
```

[23]
LaFe2W: relaxed, GGA-PBEsol.

Results
Final energy in eV/atom: -8.628
Fermi-level density of states in states/eV/cell: 4.82
Energy relative to the lowest polymorph listed for this composition in meV per atom: 27
Formation energy in eV per formula unit: 2.568

Structure (POSCAR):
```
LaFe2W
1.0
-2.0848 2.4121 3.2299
2.0848 -2.4121 3.2299
2.0848 2.4121 -3.2299
La Fe W
1 2 1
direct
0.0000 0.0000 0.0000 La
0.2754 0.7754 0.5000 Fe
0.7246 0.2246 0.5000 Fe
0.5000 0.5000 0.0000 W
```

[24]
Cr2AsAu: relaxed, GGA-PBEsol.

Results
Final energy in eV/atom: -7.075
Fermi-level density of states in states/eV/cell: 3.49
Formation energy in eV per formula unit: 1.213

Structure (POSCAR):
```
Cr2AsAu
1.0
4.3795 0.0000 0.0000
0.0000 4.3795 0.0000
0.0000 0.0000 2.8096
Cr As Au
2 1 1
direct
0.0000 0.5000 0.0000 Cr
0.5000 0.0000 0.0000 Cr
0.0000 0.0000 0.5000 As
0.5000 0.5000 0.5000 Au
```

[25]
SrLiAg: relaxed, GGA-PBEsol.

Results
Final energy in eV/atom: -2.481
Fermi-level density of states in states/eV/cell: 1.75
Energy relative to the lowest polymorph listed for this composition in meV per atom: 41
Formation energy in eV per formula unit: -0.324

Structure (POSCAR):
```
SrLiAg
1.0
-1.8668 1.8668 5.4081
1.8668 -1.8668 5.4081
1.8668 1.8668 -5.4081
Sr Li Ag
1 1 1
direct
0.0000 0.0000 0.0000 Sr
0.2834 0.2834 0.0000 Li
0.6886 0.6886 0.0000 Ag
```

[26]
CdHg: relaxed, GGA-PBEsol.

Results
Final energy in eV/atom: -0.873
Fermi-level density of states in states/eV/cell: 1.32
Formation energy in eV per formula unit: 0.017

Structure (POSCAR):
```
CdHg
1.0
1.7110 -5.5403 0.0000
1.7110 5.5403 0.0000
0.0000 0.0000 4.7163
Cd Hg
2 2
direct
0.0871 0.9129 0.7500 Cd
0.9129 0.0871 0.2500 Cd
0.3486 0.6514 0.7500 Hg
0.6514 0.3486 0.2500 Hg
```